# 1
VASP calculation (PBE-GGA) on a geometry-optimized ScTlBr2 structure.

Cell and atoms, written as POSCAR:
```
ScTlBr2
1.0
-2.912 -0.342 4.411
-3.142 -0.205 -2.090
-1.077 -6.245 -1.196
Br Sc Tl
2 1 1
direct
0.000 0.021 0.084
0.500 0.407 0.312
0.000 0.363 0.398
0.500 0.709 0.707
```

Summary:
* distance to the lowest polymorph of the same formula: 267.1 meV per atom
* E: -15.12 eV/f.u.
* density: 5.51 Mg/m³
* ΔE_f (raw): -769 meV/atom



# 2
VASP calculation (PBE-GGA) on a geometry-optimized Bi5Sb4N2 structure.

Cell and atoms, written as POSCAR:
```
Bi5Sb4N2
1.0
-2.521 -2.345 -3.191
4.188 -10.154 -6.165
0.145 -9.748 1.540
Sb Bi N
4 5 2
direct
0.879 0.693 0.992
0.121 0.307 0.008
0.453 0.521 0.329
0.547 0.479 0.671
0.593 0.704 0.748
0.500 0.000 0.000
0.118 0.089 0.691
0.407 0.296 0.252
0.882 0.911 0.309
0.812 0.365 0.551
0.188 0.635 0.449
```

Summary:
* E: -48.57 eV/f.u.
* density: 7.76 Mg/m³
* ΔE_f (raw): 361 meV/atom



# 3
VASP calculation (PBE-GGA) on a geometry-optimized KIn2Ni structure.

Cell and atoms, written as POSCAR:
```
KIn2Ni
1.0
4.574 0.000 0.000
0.000 4.581 0.000
0.000 0.000 4.742
In Ni K
2 1 1
direct
0.000 0.000 0.000
0.500 0.500 0.000
0.000 0.500 0.500
0.500 0.000 0.500
```

Summary:
* DFT formation energy: 1.697 eV per formula unit
* E: -10.66 eV/f.u.
* density: 5.47 Mg/m³



# 4
VASP calculation (PBE-GGA) on a geometry-optimized Zr4ScS8 structure.

Cell and atoms, written as POSCAR:
```
Zr4ScS8
1.0
-3.588 -4.063 5.065
3.109 -1.682 6.523
-2.441 2.988 6.337
S Zr Sc
8 4 1
direct
0.251 0.251 0.754
0.246 0.749 0.749
0.749 0.246 0.749
0.251 0.754 0.251
0.253 0.253 0.253
0.754 0.251 0.251
0.747 0.747 0.747
0.749 0.749 0.246
0.500 0.000 0.500
0.000 0.500 0.500
0.500 0.500 0.000
0.000 0.000 0.000
0.500 0.500 0.500
```

Summary:
* E: -94.98 eV/f.u.
* density: 3.96 Mg/m³
* ΔE_f (raw): -1649 meV/atom



- Which of these has the highest density?
  Bi5Sb4N2